DFT (GGA-PBE) results for a geometry-optimized Li2CaPPd2 structure.

```
Li2CaPPd2
1.0
4.6421 0.0000 0.0000
0.0000 4.6421 0.0000
0.0000 0.0000 5.6210
Li Ca P Pd
2 1 1 2
Direct
0.0000 0.0000 0.2353 Li
0.0000 0.0000 0.7647 Li
0.5000 0.5000 0.5000 Ca
0.5000 0.5000 0.0000 P
0.0000 0.5000 0.0000 Pd
0.5000 0.0000 0.0000 Pd
```

Calculated values
N(E_F): 0.452 states/eV per atom
Formation energy: -0.5260 eV/atom
Energy: -4.130 eV per atom
Space-group type: P4/mmm (123)